An optimized crystal structure of Ac8PrHo2, computed with GGA-PBE.

Calculated values
Magnetic moment in μB per atom: 0.0000
Calculated volume in Å³ per atom: 45.7
Raw total energy in eV for the cell shown: -42.9

Structure (extended XYZ):
```
11
Lattice="6.7422 -6.1478 0.0000 6.7422 6.1478 0.0000 -1.3881 0.0000 6.0619" Properties=species:S:1:pos:R:3 pbc="T T T"
Ac 0.6669 0.0000 1.7774
Ac 4.9742 3.1340 1.1519
Ac 4.1201 0.0000 2.9860
Ac 7.1220 3.1340 4.9101
Ac 4.9742 -3.1340 1.1519
Ac 7.9761 0.0000 3.0759
Ac 7.1220 -3.1340 4.9101
Ac 11.4293 0.0000 4.2845
Pr 6.7422 0.0000 0.0000
Ho 1.9370 0.0000 5.5814
Ho 10.1592 0.0000 0.4805
```

An optimized crystal structure of LaMg4Hg8, computed with GGA-PBE.

Calculated values
Magnetic moment in μB per atom: 0.0000
Calculated volume in Å³ per atom: 23.2
Raw total energy in eV for the cell shown: -17.0

Structure (extended XYZ):
```
13
Lattice="-4.9354 4.9354 3.0960 4.9354 -4.9354 3.0960 4.9354 4.9354 -3.0960" Properties=species:S:1:pos:R:3 pbc="T T T"
La 0.0000 0.0000 0.0000
Mg 2.4677 2.4677 -1.5480
Mg 2.4677 -2.4677 1.5480
Mg -2.4677 2.4677 1.5480
Mg 2.4677 2.4677 1.5480
Hg 3.3376 0.0000 0.0000
Hg 6.5332 0.0000 0.0000
Hg 4.9354 2.7867 0.0000
Hg 0.0000 3.3376 0.0000
Hg 2.7867 4.9354 0.0000
Hg 2.1487 0.0000 3.0960
Hg 0.0000 6.5332 0.0000
Hg 0.0000 2.1487 3.0960
```

An optimized crystal structure of Y2Mg3NpN6, computed with GGA-PBE.

Calculated values
Magnetic moment in μB per atom: 0.0833
Calculated volume in Å³ per atom: 12.9
Raw total energy in eV for the cell shown: -94.7
Formation energy from raw total energies in kJ/mol of atoms: -113.1

Structure (extended XYZ):
```
12
Lattice="2.9196 -5.0792 0.0000 2.9196 5.0792 0.0000 -1.9320 0.0000 5.2194" Properties=species:S:1:pos:R:3 pbc="T T T"
Y 2.9196 3.3775 0.0000
Y 2.9196 -3.3775 0.0000
Mg -0.9660 0.0000 2.6097
Mg 1.9536 1.6173 2.6097
Mg 1.9536 -1.6173 2.6097
Np 2.9196 0.0000 0.0000
N 0.0879 1.5684 3.9402
N 1.1245 0.0000 1.2181
N 0.0879 -1.5684 3.9402
N 3.8193 1.5684 1.2791
N 2.7828 0.0000 4.0012
N 3.8193 -1.5684 1.2791
```

An optimized crystal structure of YRe3Si2, computed with GGA-PBE.

Calculated values
Magnetic moment in μB per atom: 0.0000
Calculated volume in Å³ per atom: 16.7
Raw total energy in eV for the cell shown: -110.3
Formation energy from raw total energies in kJ/mol of atoms: -8.2

Structure (extended XYZ):
```
12
Lattice="-2.0351 3.9329 6.2762 2.0351 -3.9329 6.2762 2.0351 3.9329 -6.2762" Properties=species:S:1:pos:R:3 pbc="T T T"
Y 0.0000 0.0000 1.5943
Y 0.0000 0.0000 10.9580
Re 2.0351 2.3081 -2.3714
Re 0.0000 2.7365 0.0000
Re 2.0351 2.3081 2.3714
Re 0.0000 1.6247 3.9047
Re 0.0000 5.1292 0.0000
Re 0.0000 1.6247 8.6476
Si 2.0351 1.4909 0.0000
Si 2.0351 0.0000 3.9381
Si 0.0000 3.9329 2.3381
Si 0.0000 2.4420 6.2762
```

An optimized crystal structure of VRePd, computed with GGA-PBE.

Calculated values
Magnetic moment in μB per atom: 0.0000
Calculated volume in Å³ per atom: 14.5
Raw total energy in eV for the cell shown: -26.7

Structure (extended XYZ):
```
3
Lattice="4.4063 0.0000 0.0000 -2.2032 3.8160 0.0000 0.0000 0.0000 2.5888" Properties=species:S:1:pos:R:3 pbc="T T T"
V 0.0000 0.0000 0.0000
Re 0.0000 2.5440 1.2944
Pd 2.2032 1.2720 0.0000
```

An optimized crystal structure of TbPmSc2, computed with GGA-PBE.

Calculated values
Magnetic moment in μB per atom: 0.0000
Calculated volume in Å³ per atom: 28.6
Raw total energy in eV for the cell shown: -21.7

Structure (extended XYZ):
```
4
Lattice="0.0000 3.8542 3.8542 3.8542 0.0000 3.8542 3.8542 3.8542 0.0000" Properties=species:S:1:pos:R:3 pbc="T T T"
Tb 0.0000 0.0000 0.0000
Pm 3.8542 3.8542 3.8542
Sc 1.9271 1.9271 1.9271
Sc 5.7813 5.7813 5.7813
```

An optimized crystal structure of Ga2Cu2Au5, computed with GGA-PBE.

Calculated values
Magnetic moment in μB per atom: 0.0000
Calculated volume in Å³ per atom: 17.0
Raw total energy in eV for the cell shown: -31.5

Structure (extended XYZ):
```
9
Lattice="4.2604 0.0000 0.0000 -0.0067 5.4770 0.0000 -2.1197 -2.7263 6.5431" Properties=species:S:1:pos:R:3 pbc="T T T"
Ga -0.0005 0.9573 1.3986
Ga 2.1345 1.7934 5.1445
Cu 0.0004 3.3663 3.8760
Cu 2.1336 -0.6156 2.6672
Au -0.0021 3.7045 1.1873
Au 0.0041 0.5705 4.0712
Au 2.1302 0.0000 0.0000
Au 2.1299 2.1802 2.4719
Au 2.1361 -0.9538 5.3558
```

An optimized crystal structure of PrThAs, computed with GGA-PBE.

Calculated values
Magnetic moment in μB per atom: 0.0194
Calculated volume in Å³ per atom: 32.2
Raw total energy in eV for the cell shown: -19.0

Structure (extended XYZ):
```
3
Lattice="4.0567 0.0000 0.0000 -2.0283 3.5132 0.0000 0.0000 0.0000 6.7732" Properties=species:S:1:pos:R:3 pbc="T T T"
Pr 0.0000 0.0000 0.0000
Th 2.0283 1.1711 3.6223
As 0.0000 2.3421 1.8311
```

An optimized crystal structure of TlInSb4, computed with GGA-PBE.

Calculated values
Magnetic moment in μB per atom: 0.0000
Calculated volume in Å³ per atom: 31.1
Raw total energy in eV for the cell shown: -21.0
Formation energy from raw total energies in kJ/mol of atoms: 9.7

Structure (extended XYZ):
```
6
Lattice="0.0000 4.5354 4.5354 4.5354 0.0000 4.5354 4.5354 4.5354 0.0000" Properties=species:S:1:pos:R:3 pbc="T T T"
Tl 0.0000 0.0000 0.0000
In 6.8031 6.8031 6.8031
Sb 3.4060 3.4060 3.4060
Sb 5.6648 5.6648 3.4060
Sb 5.6648 3.4060 5.6648
Sb 3.4060 5.6648 5.6648
```

An optimized crystal structure of AlRe2Tc, computed with GGA-PBE.

Calculated values
Magnetic moment in μB per atom: 0.0000
Calculated volume in Å³ per atom: 14.8
Raw total energy in eV for the cell shown: -39.2

Structure (extended XYZ):
```
4
Lattice="1.3963 0.8061 8.7907 -1.3963 0.8061 8.7907 0.0000 -1.6123 8.7907" Properties=species:S:1:pos:R:3 pbc="T T T"
Al 0.0000 0.0000 0.0000
Re 0.0000 0.0000 6.5646
Re 0.0000 0.0000 13.1595
Tc 0.0000 0.0000 19.7700
```

An optimized crystal structure of Na3Cd2Sn9, computed with GGA-PBE.

Calculated values
Magnetic moment in μB per atom: 0.0000
Calculated volume in Å³ per atom: 28.7
Raw total energy in eV for the cell shown: -42.8

Structure (extended XYZ):
```
14
Lattice="-2.4922 5.8722 6.8522 2.4922 -5.8722 6.8522 2.4922 5.8722 -6.8522" Properties=species:S:1:pos:R:3 pbc="T T T"
Na 0.0000 0.0000 0.0000
Na 0.0000 0.0000 3.8265
Na 0.0000 0.0000 9.8779
Cd 2.4922 4.1486 0.0000
Cd 0.0000 1.7236 6.8522
Sn 2.4922 1.6203 -1.7546
Sn 2.4922 -2.4620 4.7471
Sn 2.4922 1.6203 1.7546
Sn 0.0000 3.4102 2.1051
Sn 0.0000 5.8722 0.0000
Sn 2.4922 2.4620 4.7471
Sn 0.0000 4.2519 5.0976
Sn 0.0000 8.3342 2.1051
Sn 0.0000 4.2519 8.6068
```

An optimized crystal structure of Nd2Cd16Bi, computed with GGA-PBE.

Calculated values
Magnetic moment in μB per atom: 0.0000
Calculated volume in Å³ per atom: 23.8
Raw total energy in eV for the cell shown: -30.8

Structure (extended XYZ):
```
19
Lattice="5.1696 2.9847 4.8912 -5.1696 2.9847 4.8912 0.0000 -5.9693 4.8912" Properties=species:S:1:pos:R:3 pbc="T T T"
Nd 0.0000 0.0000 0.0000
Nd 0.0000 0.0000 4.8240
Cd 0.0000 -2.8363 2.5658
Cd -2.4563 1.4181 2.5658
Cd -2.7145 -1.5672 7.3280
Cd 0.0000 -3.1338 7.1286
Cd -2.7140 1.5669 7.1286
Cd -1.6150 -2.8322 9.7494
Cd -3.2602 0.0175 9.7494
Cd 2.4563 1.4181 2.5658
Cd 1.6150 -2.8322 9.7494
Cd -1.6453 2.8147 9.7494
Cd 2.7145 -1.5672 7.3280
Cd 0.0000 3.1345 7.3280
Cd 0.0000 0.0000 11.3140
Cd 2.7140 1.5669 7.1286
Cd 3.2602 0.0175 9.7494
Cd 1.6452 2.8147 9.7494
Bi 0.0000 0.0000 8.2052
```